VASP calculation (PBE) on AlGa3Ir after structural relaxation.

* ΔH_f (0 K): -0.274 eV/atom
* final energy: -92.23 eV/cell
* V: 384.4 Å³ per cell
* M_tot: 0.00 μB/f.u.
* space group: No. 15

Cell lengths 8.032, 8.032, 5.991 Å; angles 90.15, 90.15, 95.89 degrees
Atoms (fractional coordinates):
1 Al 0.123 0.623 0.999
2 Al 0.377 0.877 0.501
3 Al 0.623 0.123 0.499
4 Al 0.877 0.377 0.001
5 Ga 0.116 0.616 0.499
6 Ga 0.132 0.135 0.005
7 Ga 0.135 0.132 0.505
8 Ga 0.365 0.368 0.003
9 Ga 0.368 0.365 0.503
10 Ga 0.384 0.884 0.001
11 Ga 0.616 0.116 0.999
12 Ga 0.632 0.635 0.497
13 Ga 0.635 0.632 0.997
14 Ga 0.865 0.868 0.495
15 Ga 0.868 0.865 0.995
16 Ga 0.884 0.384 0.501
17 Ir 0.125 0.875 0.250
18 Ir 0.374 0.626 0.750
19 Ir 0.626 0.374 0.250
20 Ir 0.875 0.125 0.750

---

VASP calculation (PBE) on NbRePd2 after structural relaxation.

* ΔH_f (0 K): 0.340 eV/atom
* final energy: -63.09 eV/cell
* V: 136.0 Å³ per cell
* M_tot: 0.00 μB/f.u.
* space group: No. 122

Cell lengths 9.828, 9.828, 9.828 Å; angles 157.75, 157.75, 31.68 degrees
Atoms (fractional coordinates):
1 Nb 0.000 0.000 0.000
2 Nb 0.750 0.250 0.500
3 Re 0.250 0.750 0.500
4 Re 0.500 0.500 0.000
5 Pd 0.130 0.625 0.005
6 Pd 0.375 0.380 0.505
7 Pd 0.620 0.125 0.995
8 Pd 0.875 0.870 0.495

---

VASP calculation (PBE) on Ce3YSc2P6 after structural relaxation.

* ΔH_f (0 K): -1.498 eV/atom
* final energy: -87.37 eV/cell
* V: 264.9 Å³ per cell
* M_tot: 1.36 μB/f.u.
* space group: No. 12

Cell lengths 6.890, 6.890, 6.842 Å; angles 99.68, 99.68, 120.01 degrees
Atoms (fractional coordinates):
1 Ce 0.000 0.000 0.000
2 Ce 0.335 0.665 0.000
3 Ce 0.665 0.335 0.000
4 Y 0.500 0.500 0.500
5 Sc 0.167 0.833 0.500
6 Sc 0.833 0.167 0.500
7 P 0.079 0.421 0.262
8 P 0.236 0.236 0.735
9 P 0.421 0.079 0.262
10 P 0.579 0.921 0.738
11 P 0.764 0.764 0.265
12 P 0.921 0.579 0.738

---

VASP calculation (PBE) on Tm3Th2Tc2 after structural relaxation.

* ΔH_f (0 K): -0.140 eV/atom
* final energy: -49.96 eV/cell
* V: 183.4 Å³ per cell
* M_tot: 0.00 μB/f.u.
* space group: No. 12

Cell lengths 6.266, 6.266, 8.490 Å; angles 111.52, 111.52, 36.63 degrees
Atoms (fractional coordinates):
1 Tm 0.000 0.000 0.000
2 Tm 0.123 0.123 0.421
3 Tm 0.877 0.877 0.579
4 Th 0.340 0.340 0.198
5 Th 0.660 0.660 0.802
6 Tc 0.313 0.313 0.788
7 Tc 0.687 0.687 0.212